## Mo11W5 (PBEsol)

Data for a geometry-optimized Mo11W5 structure.

Computed properties:
- symmetry = Pm
- uncorrected energy (eV per atom) = -12.404

Cell: 6.269 6.269 6.269 Å, 90.01 90.00 90.00°
Fractional coordinates of all 16 atoms:
Mo1 0.750 0.750 0.250
Mo2 0.500 0.499 0.000
Mo3 0.500 0.500 0.500
W1 0.250 0.750 0.750
W2 0.000 0.499 0.499
W3 0.750 0.750 0.750
Mo4 0.250 0.250 0.750
Mo5 0.000 0.000 0.500
Mo6 0.750 0.250 0.750
Mo7 0.000 0.001 0.000
Mo8 0.500 0.000 0.000
Mo9 0.250 0.750 0.250
Mo10 0.250 0.250 0.250
Mo11 0.750 0.250 0.250
W4 0.000 0.499 0.001
W5 0.500 0.001 0.499



## Mo2W (PBEsol)

Data for a geometry-optimized Mo2W structure.

Computed properties:
- energy above the most stable polymorph in this dataset (eV per atom) = 0.003
- symmetry = P-3m1
- uncorrected energy (eV per atom) = -12.449

Cell: 2.719 4.432 4.432 Å, 120.00 90.00 90.00°
Fractional coordinates of all 3 atoms:
Mo1 0.336 0.667 0.333
Mo2 0.664 0.333 0.667
W1 0.000 0.000 0.000



## Mo2W (PBEsol)

Data for a geometry-optimized Mo2W structure.

Computed properties:
- energy above the most stable polymorph in this dataset (eV per atom) = 0.004
- symmetry = C2/m
- uncorrected energy (eV per atom) = -12.448

Cell: 3.137 5.193 6.276 Å, 107.60 90.00 107.58°
Fractional coordinates of all 6 atoms:
Mo1 0.500 0.999 0.251
W1 0.834 0.668 0.916
Mo2 0.500 0.001 0.749
Mo3 0.833 0.666 0.417
W2 0.166 0.332 0.084
Mo4 0.167 0.334 0.583



## MoW3 (PBEsol)

Data for a geometry-optimized MoW3 structure.

Computed properties:
- energy above the most stable polymorph in this dataset (eV per atom) = 0.002
- symmetry = P2/m
- uncorrected energy (eV per atom) = -13.297

Cell: 2.723 4.455 5.215 Å, 90.00 100.07 90.00°
Fractional coordinates of all 4 atoms:
W1 0.248 0.500 0.750
W2 0.752 0.500 0.250
Mo1 0.000 0.000 0.000
W3 0.500 0.000 0.500



## MoW3 (PBEsol)

Data for a geometry-optimized MoW3 structure.

Computed properties:
- energy above the most stable polymorph in this dataset (eV per atom) = 0.004
- symmetry = Cmmm
- uncorrected energy (eV per atom) = -13.296

Cell: 2.723 2.723 8.909 Å, 90.00 90.00 109.38°
Fractional coordinates of all 4 atoms:
W1 0.000 0.000 0.500
W2 0.500 0.500 0.249
W3 0.500 0.500 0.751
Mo1 0.000 0.000 0.000



## Mo4W (PBEsol)

Data for a geometry-optimized Mo4W structure.

Computed properties:
- symmetry = I4/m
- uncorrected energy (eV per atom) = -12.177

Cell: 3.132 5.193 5.193 Å, 84.78 72.45 72.45°
Fractional coordinates of all 5 atoms:
Mo1 0.800 0.800 0.599
Mo2 0.400 0.401 0.800
Mo3 0.600 0.599 0.200
W1 0.000 0.000 0.000
Mo4 0.200 0.200 0.401



## MoW3 (PBEsol)

Data for a geometry-optimized MoW3 structure.

Computed properties:
- energy above the most stable polymorph in this dataset (eV per atom) = 0.004
- symmetry = Cm
- uncorrected energy (eV per atom) = -13.295

Cell: 6.294 6.295 6.295 Å, 89.99 90.00 90.00°
Fractional coordinates of all 16 atoms:
W1 0.250 0.250 0.250
W2 0.000 0.000 0.500
W3 0.750 0.750 0.250
W4 0.750 0.750 0.750
Mo1 0.500 0.000 0.000
W5 0.000 0.500 0.500
W6 0.500 0.500 0.000
Mo2 0.000 0.000 0.000
W7 0.500 0.000 0.500
W8 0.000 0.500 0.000
W9 0.750 0.250 0.750
W10 0.250 0.250 0.750
W11 0.250 0.750 0.250
W12 0.250 0.750 0.750
Mo3 0.750 0.250 0.250
Mo4 0.500 0.500 0.500



## MoW (PBEsol)

Data for a geometry-optimized MoW structure.

Computed properties:
- energy above the most stable polymorph in this dataset (eV per atom) = 0.006
- symmetry = Cmmm
- uncorrected energy (eV per atom) = -12.789

Cell: 2.718 2.718 4.446 Å, 90.00 90.00 109.52°
Fractional coordinates of all 2 atoms:
W1 0.500 0.500 0.500
Mo1 0.000 0.000 0.000



## MoW2 (PBEsol)

Data for a geometry-optimized MoW2 structure.

Computed properties:
- energy above the most stable polymorph in this dataset (eV per atom) = 0.001
- symmetry = I4/mmm
- uncorrected energy (eV per atom) = -13.130

Cell: 3.147 3.147 5.207 Å, 107.59 107.59 90.00°
Fractional coordinates of all 3 atoms:
Mo1 0.000 0.000 0.000
W1 0.334 0.334 0.667
W2 0.666 0.666 0.333



## MoW (PBEsol)

Data for a geometry-optimized MoW structure.

Computed properties:
- energy above the most stable polymorph in this dataset (eV per atom) = 0.007
- symmetry = P2_1/m
- uncorrected energy (eV per atom) = -12.788

Cell: 2.719 4.446 5.205 Å, 90.00 100.07 90.00°
Fractional coordinates of all 4 atoms:
Mo1 0.377 0.250 0.125
W1 0.873 0.250 0.625
W2 0.127 0.750 0.375
Mo2 0.623 0.750 0.875



## Mo4W3 (PBEsol)

Data for a geometry-optimized Mo4W3 structure.

Computed properties:
- symmetry = I4/mmm
- uncorrected energy (eV per atom) = -12.644

Cell: 3.139 3.139 11.200 Å, 98.05 98.05 90.00°
Fractional coordinates of all 7 atoms:
W1 0.000 0.000 0.000
Mo1 0.571 0.571 0.143
Mo2 0.429 0.429 0.857
W2 0.286 0.286 0.572
Mo3 0.858 0.858 0.715
W3 0.714 0.714 0.428
Mo4 0.142 0.142 0.285



## MoW3 (PBEsol)

Data for a geometry-optimized MoW3 structure.

Computed properties:
- energy above the most stable polymorph in this dataset (eV per atom) = 0.001
- symmetry = C2/m
- uncorrected energy (eV per atom) = -13.298

Cell: 3.147 4.450 5.216 Å, 115.25 107.46 90.00°
Fractional coordinates of all 4 atoms:
W1 0.500 0.000 0.000
W2 0.750 0.750 0.500
W3 0.250 0.250 0.500
Mo1 0.000 0.500 0.000



One value per record, in order, for energy of formation from the pure elements: 1, -2, 0, 1, 2, -2, 2, -1, -2, 0, -2, 0 meV per atom.